Entry 1:
# CsTaCuSe3 (GGA-PBE, optimized geometry)
# uncorrected energy: -0.18220 Ha/atom
# size of the total moment: 0.032 μB/atom
data_CsTaCuSe3
_chemical_formula_sum 'Cs2 Ta2 Cu2 Se6'
_symmetry_space_group_name_H-M 'P 1'
_symmetry_Int_Tables_number 1
_symmetry_space_group_name_Hall 'P 1'
_cell_length_a 8.980
_cell_length_b 8.980
_cell_length_c 9.026
_cell_angle_alpha 94.79
_cell_angle_beta 94.79
_cell_angle_gamma 24.43
loop_
_atom_site_label
_atom_site_type_symbol
_atom_site_fract_x
_atom_site_fract_y
_atom_site_fract_z
_atom_site_occupancy
Se1 Se 0.312 0.312 0.616 1
Se2 Se 0.500 0.500 0.000 1
Se3 Se 0.335 0.335 0.242 1
Se4 Se 0.665 0.665 0.758 1
Se5 Se 0.688 0.688 0.384 1
Se6 Se 0.000 0.000 0.500 1
Cu1 Cu 0.532 0.532 0.736 1
Cu2 Cu 0.468 0.468 0.264 1
Cs1 Cs 0.151 0.151 0.071 1
Cs2 Cs 0.849 0.849 0.929 1
Ta1 Ta 0.148 0.148 0.563 1
Ta2 Ta 0.852 0.852 0.437 1

=====

Entry 2:
# NaFeTe2AuS (GGA-PBE, optimized geometry)
# uncorrected energy: -0.14693 Ha/atom
# size of the total moment: 0.550 μB/atom
data_NaFeTe2AuS
_chemical_formula_sum 'Na2 Fe2 Te4 Au2 S2'
_symmetry_space_group_name_H-M 'P 1'
_symmetry_Int_Tables_number 1
_symmetry_space_group_name_Hall 'P 1'
_cell_length_a 6.875
_cell_length_b 6.875
_cell_length_c 10.890
_cell_angle_alpha 90.00
_cell_angle_beta 90.00
_cell_angle_gamma 147.17
loop_
_atom_site_label
_atom_site_type_symbol
_atom_site_fract_x
_atom_site_fract_y
_atom_site_fract_z
_atom_site_occupancy
Te1 Te 0.362 0.638 0.523 1
Te2 Te 0.638 0.362 0.477 1
Te3 Te 0.362 0.638 0.977 1
Te4 Te 0.638 0.362 0.023 1
Fe1 Fe 0.000 0.000 0.000 1
Fe2 Fe 0.000 0.000 0.500 1
S1 S 0.069 0.931 0.750 1
S2 S 0.931 0.069 0.250 1
Au1 Au 0.446 0.554 0.750 1
Au2 Au 0.554 0.446 0.250 1
Na1 Na 0.745 0.255 0.750 1
Na2 Na 0.255 0.745 0.250 1

=====

Entry 3:
# SmAs2 (GGA-PBE, optimized geometry)
# uncorrected energy: -0.18649 Ha/atom
# size of the total moment: 0.040 μB/atom
data_SmAs2
_chemical_formula_sum 'Sm2 As4'
_symmetry_space_group_name_H-M 'P 1'
_symmetry_Int_Tables_number 1
_symmetry_space_group_name_Hall 'P 1'
_cell_length_a 5.741
_cell_length_b 5.741
_cell_length_c 5.741
_cell_angle_alpha 60.00
_cell_angle_beta 60.00
_cell_angle_gamma 60.00
loop_
_atom_site_label
_atom_site_type_symbol
_atom_site_fract_x
_atom_site_fract_y
_atom_site_fract_z
_atom_site_occupancy
As1 As 0.625 0.625 0.125 1
As2 As 0.125 0.625 0.625 1
As3 As 0.625 0.625 0.625 1
As4 As 0.625 0.125 0.625 1
Sm1 Sm 0.250 0.250 0.250 1
Sm2 Sm 0.000 0.000 0.000 1

=====

Entry 4:
# TmZn (GGA-PBE, optimized geometry)
# formation energy: 0.0077 eV per atom
# size of the total moment: 0.001 μB/atom
data_TmZn
_chemical_formula_sum 'Tm8 Zn8'
_symmetry_space_group_name_H-M 'P 1'
_symmetry_Int_Tables_number 1
_symmetry_space_group_name_Hall 'P 1'
_cell_length_a 5.747
_cell_length_b 12.620
_cell_length_c 4.821
_cell_angle_alpha 90.00
_cell_angle_beta 90.00
_cell_angle_gamma 90.00
loop_
_atom_site_label
_atom_site_type_symbol
_atom_site_fract_x
_atom_site_fract_y
_atom_site_fract_z
_atom_site_occupancy
Tm1 Tm 0.989 0.511 0.000 1
Tm2 Tm 0.344 0.011 0.500 1
Tm3 Tm 0.344 0.489 0.500 1
Tm4 Tm 0.515 0.869 0.000 1
Tm5 Tm 0.818 0.131 0.500 1
Tm6 Tm 0.989 0.989 0.000 1
Tm7 Tm 0.818 0.369 0.500 1
Tm8 Tm 0.515 0.631 0.000 1
Zn1 Zn 0.851 0.874 0.500 1
Zn2 Zn 0.002 0.750 0.000 1
Zn3 Zn 0.483 0.374 0.000 1
Zn4 Zn 0.851 0.626 0.500 1
Zn5 Zn 0.331 0.250 0.500 1
Zn6 Zn 0.058 0.250 0.000 1
Zn7 Zn 0.276 0.750 0.500 1
Zn8 Zn 0.483 0.126 0.000 1

=====

Entry 5:
# CdGeAsO (GGA-PBE, optimized geometry)
# E above lowest polymorph: 2.63 kcal/mol of atoms
data_CdGeAsO
_chemical_formula_sum 'Cd2 Ge2 As2 O2'
_symmetry_space_group_name_H-M 'P 1'
_symmetry_Int_Tables_number 1
_symmetry_space_group_name_Hall 'P 1'
_cell_length_a 4.408
_cell_length_b 4.408
_cell_length_c 8.358
_cell_angle_alpha 90.00
_cell_angle_beta 90.00
_cell_angle_gamma 90.00
loop_
_atom_site_label
_atom_site_type_symbol
_atom_site_fract_x
_atom_site_fract_y
_atom_site_fract_z
_atom_site_occupancy
Cd1 Cd 0.250 0.250 0.053 1
Cd2 Cd 0.750 0.750 0.947 1
As1 As 0.250 0.250 0.668 1
As2 As 0.750 0.750 0.332 1
Ge1 Ge 0.750 0.250 0.500 1
Ge2 Ge 0.250 0.750 0.500 1
O1 O 0.750 0.250 0.000 1
O2 O 0.250 0.750 0.000 1

=====

Entry 6:
# Ac (GGA-PBE, optimized geometry)
# formation energy: 0.4194 eV per atom
# E above lowest polymorph: 9.67 kcal/mol of atoms
# size of the total moment: 0.005 μB/atom
data_Ac
_chemical_formula_sum 'Ac2'
_symmetry_space_group_name_H-M 'P 1'
_symmetry_Int_Tables_number 1
_symmetry_space_group_name_Hall 'P 1'
_cell_length_a 3.797
_cell_length_b 5.298
_cell_length_c 5.298
_cell_angle_alpha 97.38
_cell_angle_beta 69.00
_cell_angle_gamma 111.00
loop_
_atom_site_label
_atom_site_type_symbol
_atom_site_fract_x
_atom_site_fract_y
_atom_site_fract_z
_atom_site_occupancy
Ac1 Ac 0.000 0.000 0.000 1
Ac2 Ac 0.250 0.500 0.500 1

=====

Entry 7:
# TlCuTe3Os (GGA-PBE, optimized geometry)
# E above lowest polymorph: 2.16 kcal/mol of atoms
# size of the total moment: 0.005 μB/atom
data_TlCuTe3Os
_chemical_formula_sum 'Tl2 Cu2 Te6 Os2'
_symmetry_space_group_name_H-M 'P 1'
_symmetry_Int_Tables_number 1
_symmetry_space_group_name_Hall 'P 1'
_cell_length_a 7.868
_cell_length_b 7.868
_cell_length_c 10.217
_cell_angle_alpha 90.00
_cell_angle_beta 90.00
_cell_angle_gamma 29.31
loop_
_atom_site_label
_atom_site_type_symbol
_atom_site_fract_x
_atom_site_fract_y
_atom_site_fract_z
_atom_site_occupancy
Cu1 Cu 0.964 0.964 0.250 1
Cu2 Cu 0.036 0.036 0.750 1
Tl1 Tl 0.736 0.736 0.750 1
Tl2 Tl 0.264 0.264 0.250 1
Te1 Te 0.426 0.426 0.750 1
Te2 Te 0.881 0.881 0.034 1
Te3 Te 0.119 0.119 0.534 1
Te4 Te 0.574 0.574 0.250 1
Te5 Te 0.881 0.881 0.466 1
Te6 Te 0.119 0.119 0.966 1
Os1 Os 0.500 0.500 0.500 1
Os2 Os 0.500 0.500 0.000 1

=====

Entry 8:
# NbSiNi (GGA-PBE, optimized geometry)
# uncorrected energy: -0.27164 Ha/atom
# size of the total moment: 0.001 μB/atom
data_NbSiNi
_chemical_formula_sum 'Nb1 Si1 Ni1'
_symmetry_space_group_name_H-M 'P 1'
_symmetry_Int_Tables_number 1
_symmetry_space_group_name_Hall 'P 1'
_cell_length_a 4.005
_cell_length_b 4.005
_cell_length_c 4.005
_cell_angle_alpha 60.00
_cell_angle_beta 60.00
_cell_angle_gamma 60.00
loop_
_atom_site_label
_atom_site_type_symbol
_atom_site_fract_x
_atom_site_fract_y
_atom_site_fract_z
_atom_site_occupancy
Nb1 Nb 0.250 0.250 0.250 1
Si1 Si 0.750 0.750 0.750 1
Ni1 Ni 0.000 0.000 0.000 1

=====

Entry 9:
# InNiAgTeS2 (GGA-PBE, optimized geometry)
# uncorrected energy: -0.14384 Ha/atom
# size of the total moment: 0.001 μB/atom
data_InNiAgTeS2
_chemical_formula_sum 'In2 Ni2 Ag2 Te2 S4'
_symmetry_space_group_name_H-M 'P 1'
_symmetry_Int_Tables_number 1
_symmetry_space_group_name_Hall 'P 1'
_cell_length_a 7.558
_cell_length_b 7.558
_cell_length_c 10.590
_cell_angle_alpha 90.00
_cell_angle_beta 90.00
_cell_angle_gamma 154.66
loop_
_atom_site_label
_atom_site_type_symbol
_atom_site_fract_x
_atom_site_fract_y
_atom_site_fract_z
_atom_site_occupancy
S1 S 0.604 0.396 0.006 1
S2 S 0.396 0.604 0.506 1
S3 S 0.396 0.604 0.994 1
S4 S 0.604 0.396 0.494 1
Ag1 Ag 0.323 0.677 0.250 1
Ag2 Ag 0.677 0.323 0.750 1
Ni1 Ni 0.000 0.000 0.000 1
Ni2 Ni 0.000 0.000 0.500 1
Te1 Te 0.987 0.013 0.250 1
Te2 Te 0.013 0.987 0.750 1
In1 In 0.670 0.330 0.250 1
In2 In 0.330 0.670 0.750 1

=====

Entry 10:
# NpPaIr (GGA-PBE, optimized geometry)
# formation energy: -0.1224 eV per atom
# E above lowest polymorph: 0.00 kcal/mol of atoms
# size of the total moment: 1.200 μB/atom
data_NpPaIr
_chemical_formula_sum 'Np1 Pa1 Ir1'
_symmetry_space_group_name_H-M 'P 1'
_symmetry_Int_Tables_number 1
_symmetry_space_group_name_Hall 'P 1'
_cell_length_a 4.505
_cell_length_b 4.505
_cell_length_c 4.505
_cell_angle_alpha 60.00
_cell_angle_beta 60.00
_cell_angle_gamma 60.00
loop_
_atom_site_label
_atom_site_type_symbol
_atom_site_fract_x
_atom_site_fract_y
_atom_site_fract_z
_atom_site_occupancy
Np1 Np 0.000 0.000 0.000 1
Ir1 Ir 0.250 0.250 0.250 1
Pa1 Pa 0.750 0.750 0.750 1

=====

Entry 11:
# Pr2SbO (GGA-PBE, optimized geometry)
# uncorrected energy: -0.22132 Ha/atom
# size of the total moment: 0.001 μB/atom
data_Pr2SbO
_chemical_formula_sum 'Pr2 Sb1 O1'
_symmetry_space_group_name_H-M 'P 1'
_symmetry_Int_Tables_number 1
_symmetry_space_group_name_Hall 'P 1'
_cell_length_a 4.210
_cell_length_b 4.210
_cell_length_c 5.959
_cell_angle_alpha 90.00
_cell_angle_beta 90.00
_cell_angle_gamma 90.00
loop_
_atom_site_label
_atom_site_type_symbol
_atom_site_fract_x
_atom_site_fract_y
_atom_site_fract_z
_atom_site_occupancy
O1 O 0.000 0.000 0.500 1
Pr1 Pr 0.500 0.500 0.500 1
Pr2 Pr 0.000 0.000 0.000 1
Sb1 Sb 0.500 0.500 0.000 1

=====

Entry 12:
# Rb2AlAgBr6 (GGA-PBE, optimized geometry)
# E above lowest polymorph: 0.00 kcal/mol of atoms
data_Rb2AlAgBr6
_chemical_formula_sum 'Rb8 Al4 Ag4 Br24'
_symmetry_space_group_name_H-M 'P 1'
_symmetry_Int_Tables_number 1
_symmetry_space_group_name_Hall 'P 1'
_cell_length_a 17.491
_cell_length_b 8.019
_cell_length_c 12.648
_cell_angle_alpha 90.00
_cell_angle_beta 90.00
_cell_angle_gamma 90.00
loop_
_atom_site_label
_atom_site_type_symbol
_atom_site_fract_x
_atom_site_fract_y
_atom_site_fract_z
_atom_site_occupancy
Br1 Br 0.380 0.984 0.948 1
Br2 Br 0.120 0.484 0.448 1
Br3 Br 0.502 0.490 0.651 1
Br4 Br 0.796 0.750 0.790 1
Br5 Br 0.002 0.490 0.849 1
Br6 Br 0.311 0.250 0.464 1
Br7 Br 0.689 0.750 0.536 1
Br8 Br 0.704 0.250 0.290 1
Br9 Br 0.498 0.990 0.349 1
Br10 Br 0.502 0.010 0.651 1
Br11 Br 0.880 0.984 0.552 1
Br12 Br 0.189 0.750 0.964 1
Br13 Br 0.296 0.750 0.710 1
Br14 Br 0.998 0.990 0.151 1
Br15 Br 0.998 0.510 0.151 1
Br16 Br 0.204 0.250 0.210 1
Br17 Br 0.811 0.250 0.036 1
Br18 Br 0.620 0.484 0.052 1
Br19 Br 0.002 0.010 0.849 1
Br20 Br 0.120 0.016 0.448 1
Br21 Br 0.880 0.516 0.552 1
Br22 Br 0.498 0.510 0.349 1
Br23 Br 0.380 0.516 0.948 1
Br24 Br 0.620 0.016 0.052 1
Ag1 Ag 0.489 0.750 0.510 1
Ag2 Ag 0.011 0.250 0.010 1
Ag3 Ag 0.511 0.250 0.490 1
Ag4 Ag 0.989 0.750 0.990 1
Rb1 Rb 0.912 0.250 0.314 1
Rb2 Rb 0.856 0.250 0.773 1
Rb3 Rb 0.144 0.750 0.227 1
Rb4 Rb 0.412 0.250 0.186 1
Rb5 Rb 0.644 0.750 0.273 1
Rb6 Rb 0.588 0.750 0.814 1
Rb7 Rb 0.356 0.250 0.727 1
Rb8 Rb 0.088 0.750 0.686 1
Al1 Al 0.811 0.750 0.607 1
Al2 Al 0.689 0.250 0.107 1
Al3 Al 0.189 0.250 0.393 1
Al4 Al 0.311 0.750 0.893 1